Density functional theory data (GGA-PBE) for NdNpPd14 after structural relaxation.

a = 5.849 Å, b = 5.849 Å, c = 7.827 Å
α = 90.00°, β = 90.00°, γ = 90.00°
Site moments in Bohr magnetons follow the coordinates.
Positions (direct):
1 Nd 0.875 0.875 0.500  0.01
2 Pd 0.130 0.620 0.758  -0.06
3 Pd 0.130 0.130 0.242  -0.06
4 Pd 0.130 0.620 0.242  -0.06
5 Pd 0.875 0.875 0.000  -0.05
6 Pd 0.620 0.130 0.242  -0.06
7 Pd 0.620 0.620 0.758  -0.06
8 Pd 0.375 0.875 0.500  -0.03
9 Pd 0.875 0.375 0.000  -0.06
10 Pd 0.875 0.375 0.500  -0.03
11 Pd 0.375 0.375 0.000  0.02
12 Pd 0.620 0.130 0.758  -0.06
13 Pd 0.620 0.620 0.242  -0.06
14 Pd 0.130 0.130 0.758  -0.06
15 Pd 0.375 0.875 0.000  -0.06
16 Np 0.375 0.375 0.500  3.01

Output
Fermi-level density of states = 1.56 states/eV per atom
Electronic total energy = -5.950 eV per atom
Magnetic moment = 2.50 μB per formula unit